An optimized crystal structure of TlPAu, computed with PBE.

a = 4.504 Å, b = 5.583 Å, c = 6.194 Å
α = 90.00°, β = 90.00°, γ = 90.00°
Space group Amm2 (No. 38)
One atom of each set of equivalent atoms:
1 Tl 0.000 0.000 0.000
2 P 0.000 0.000 0.482
3 Au 0.500 0.000 0.596

Total magnetization: 0.0 μB/f.u.
Formation energy from the elements: 171.4 meV per atom
Excess energy over the best structure of this formula in the dataset: 235.1 meV/atom
Final energy: -3.513 eV per atom

***

An optimized crystal structure of VCu2Ir, computed with PBE.

a = 2.6093 Å, b = 2.6093 Å, c = 28.3065 Å
α = 90.00°, β = 90.00°, γ = 120.00°
Space group R-3m (No. 166, hexagonal axes)
One atom of each set of equivalent atoms:
1 V 0.0000 0.0000 0.0000
2 Cu 0.0000 0.0000 0.0875
3 Ir 0.0000 0.0000 0.5000

Total magnetization: 0.0 μB/f.u.
Formation energy from the elements: 370.9 meV per atom
Excess energy over the best structure of this formula in the dataset: 260.6 meV/atom
Final energy: -6.172 eV per atom

***

An optimized crystal structure of CeFeP2Rh5, computed with PBE.

a = 4.025 Å, b = 4.025 Å, c = 9.749 Å
α = 90.00°, β = 90.00°, γ = 90.00°
Space group P4/mmm (No. 123)
One atom of each set of equivalent atoms:
1 Ce 0.000 0.000 0.000
2 Fe 0.000 0.000 0.500
3 P 0.500 0.500 0.234
4 Rh 0.000 0.500 0.342
5 Rh 0.500 0.500 0.000

Total magnetization: 4.7 μB/f.u.
Formation energy from the elements: -536.5 meV per atom
Final energy: -7.422 eV per atom

***

Please write out number 2 again, unchanged.
An optimized crystal structure of VCu2Ir, computed with PBE.

a = 2.6093 Å, b = 2.6093 Å, c = 28.3065 Å
α = 90.00°, β = 90.00°, γ = 120.00°
Space group R-3m (No. 166, hexagonal axes)
One atom of each set of equivalent atoms:
1 V 0.0000 0.0000 0.0000
2 Cu 0.0000 0.0000 0.0875
3 Ir 0.0000 0.0000 0.5000

Total magnetization: 0.0 μB/f.u.
Formation energy from the elements: 370.9 meV per atom
Excess energy over the best structure of this formula in the dataset: 260.6 meV/atom
Final energy: -6.172 eV per atom